A plane-wave DFT calculation with PBE was carried out for ZrPt2Au after structural relaxation.

Structure (POSCAR):
```
ZrPt2Au
1.0
2.9836 0.0000 0.0000
0.0000 2.9836 0.0000
0.0000 0.0000 7.9347
Zr Pt Au
1 2 1
direct
0.0000 0.0000 0.0000 Zr
0.0000 0.0000 0.5128 Pt
0.5000 0.5000 0.7583 Pt
0.5000 0.5000 0.2623 Au
```

Properties
* energy relative to the elements: -392.4 meV per atom
* density of states at the Fermi level: 1.008 states/eV per atom